# 1
The following is a DFT calculation (PBE-GGA) of crystalline Si2Hg at its relaxed geometry. Values from VASP.

```
&SYSTEM
  ibrav = 0, nat = 3, ntyp = 2
/
ATOMIC_SPECIES
Si 28.09 Si.upf
Hg 200.59 Hg.upf
CELL_PARAMETERS angstrom
1.894 1.093 5.143
-1.894 1.093 5.143
0.000 -2.187 5.143
ATOMIC_POSITIONS crystal
Si 0.000 0.000 0.000
Si 0.276 0.276 0.276
Hg 0.801 0.801 0.801
```

Results
energy above the most stable polymorph in this dataset	0.036	eV/atom
total magnetic moment	0.00	μB per atom

---

# 2
The following is a DFT calculation (PBE-GGA) of crystalline Si2Hg at its relaxed geometry. Values from VASP.

```
&SYSTEM
  ibrav = 0, nat = 6, ntyp = 2
/
ATOMIC_SPECIES
Si 28.09 Si.upf
Hg 200.59 Hg.upf
CELL_PARAMETERS angstrom
-2.124 2.124 6.807
2.124 -2.124 6.807
2.124 2.124 -6.807
ATOMIC_POSITIONS crystal
Si 0.288 0.538 0.750
Si 0.462 0.712 0.750
Si 0.538 0.288 0.250
Si 0.712 0.462 0.250
Hg 0.125 0.875 0.250
Hg 0.875 0.125 0.750
```

Results
energy above the most stable polymorph in this dataset	0.162	eV/atom
total magnetic moment	0.00	μB per atom

---

# 3
The following is a DFT calculation (PBE-GGA) of crystalline Si2Hg at its relaxed geometry. Values from VASP.

```
&SYSTEM
  ibrav = 0, nat = 6, ntyp = 2
/
ATOMIC_SPECIES
Si 28.09 Si.upf
Hg 200.59 Hg.upf
CELL_PARAMETERS angstrom
4.966 -1.376 0.000
4.966 1.376 0.000
-2.355 0.000 8.968
ATOMIC_POSITIONS crystal
Si 0.048 0.048 0.191
Si 0.357 0.357 0.004
Si 0.643 0.643 0.996
Si 0.952 0.952 0.809
Hg 0.346 0.346 0.386
Hg 0.654 0.654 0.614
```

Results
energy above the most stable polymorph in this dataset	0.119	eV/atom
total magnetic moment	0.00	μB per atom

---

# 4
The following is a DFT calculation (PBE-GGA) of crystalline SiHg2 at its relaxed geometry. Values from VASP.

```
&SYSTEM
  ibrav = 0, nat = 3, ntyp = 2
/
ATOMIC_SPECIES
Si 28.09 Si.upf
Hg 200.59 Hg.upf
CELL_PARAMETERS angstrom
3.099 0.000 0.000
-1.549 2.683 0.000
0.000 0.000 8.021
ATOMIC_POSITIONS crystal
Si 0.000 0.000 0.000
Hg 0.333 0.667 0.320
Hg 0.667 0.333 0.680
```

Results
energy above the most stable polymorph in this dataset	0.286	eV/atom
total magnetic moment	0.00	μB per atom

---

# 5
The following is a DFT calculation (PBE-GGA) of crystalline Sm6Si2Hg at its relaxed geometry. Values from VASP.

```
&SYSTEM
  ibrav = 0, nat = 18, ntyp = 3
/
ATOMIC_SPECIES
Sm 150.36 Sm.upf
Si 28.09 Si.upf
Hg 200.59 Hg.upf
CELL_PARAMETERS angstrom
-4.904 4.951 5.177
4.904 -4.951 5.177
4.904 4.951 -5.177
ATOMIC_POSITIONS crystal
Sm 0.044 0.246 0.798
Sm 0.180 0.273 0.453
Sm 0.180 0.727 0.906
Sm 0.323 0.028 0.704
Sm 0.323 0.619 0.296
Sm 0.449 0.246 0.202
Sm 0.551 0.754 0.798
Sm 0.677 0.381 0.704
Sm 0.677 0.972 0.296
Sm 0.820 0.273 0.094
Sm 0.820 0.727 0.547
Sm 0.956 0.754 0.202
Si 0.115 0.615 0.500
Si 0.366 0.000 0.366
Si 0.634 0.000 0.634
Si 0.885 0.385 0.500
Hg 0.000 0.000 0.000
Hg 0.500 0.500 0.000
```

Results
total magnetic moment	0.00	μB per atom

---

# 6
The following is a DFT calculation (PBE-GGA) of crystalline Sm2SiHg at its relaxed geometry. Values from VASP.

```
&SYSTEM
  ibrav = 0, nat = 4, ntyp = 3
/
ATOMIC_SPECIES
Sm 150.36 Sm.upf
Si 28.09 Si.upf
Hg 200.59 Hg.upf
CELL_PARAMETERS angstrom
2.158 1.246 7.216
-2.158 1.246 7.216
0.000 -2.492 7.216
ATOMIC_POSITIONS crystal
Sm 0.236 0.236 0.236
Sm 0.764 0.764 0.764
Si 0.500 0.500 0.500
Hg 0.000 0.000 0.000
```

Results
total magnetic moment	0.00	μB per atom

---

# 7
The following is a DFT calculation (PBE-GGA) of crystalline Sm5Si2Hg at its relaxed geometry. Values from VASP.

```
&SYSTEM
  ibrav = 0, nat = 16, ntyp = 3
/
ATOMIC_SPECIES
Sm 150.36 Sm.upf
Si 28.09 Si.upf
Hg 200.59 Hg.upf
CELL_PARAMETERS angstrom
-3.846 3.846 7.347
3.846 -3.846 7.347
3.846 3.846 -7.347
ATOMIC_POSITIONS crystal
Sm 0.000 0.000 0.000
Sm 0.035 0.535 0.849
Sm 0.186 0.035 0.500
Sm 0.314 0.814 0.849
Sm 0.465 0.314 0.500
Sm 0.500 0.500 0.000
Sm 0.535 0.686 0.500
Sm 0.686 0.186 0.151
Sm 0.814 0.965 0.500
Sm 0.965 0.465 0.151
Si 0.118 0.382 0.500
Si 0.382 0.882 0.263
Si 0.618 0.118 0.737
Si 0.882 0.618 0.500
Hg 0.250 0.250 0.000
Hg 0.750 0.750 0.000
```

Results
total magnetic moment	0.00	μB per atom

---

# 8
The following is a DFT calculation (PBE-GGA) of crystalline Sm2SiHg at its relaxed geometry. Values from VASP.

```
&SYSTEM
  ibrav = 0, nat = 8, ntyp = 3
/
ATOMIC_SPECIES
Sm 150.36 Sm.upf
Si 28.09 Si.upf
Hg 200.59 Hg.upf
CELL_PARAMETERS angstrom
6.075 0.000 0.000
0.000 4.253 0.000
-2.742 0.000 8.134
ATOMIC_POSITIONS crystal
Sm 0.197 0.250 0.421
Sm 0.277 0.750 0.062
Sm 0.723 0.250 0.938
Sm 0.803 0.750 0.579
Si 0.124 0.250 0.790
Si 0.876 0.750 0.210
Hg 0.374 0.750 0.709
Hg 0.626 0.250 0.291
```

Results
total magnetic moment	0.00	μB per atom

---

# 9
The following is a DFT calculation (PBE-GGA) of crystalline Sm2SiHg at its relaxed geometry. Values from VASP.

```
&SYSTEM
  ibrav = 0, nat = 4, ntyp = 3
/
ATOMIC_SPECIES
Sm 150.36 Sm.upf
Si 28.09 Si.upf
Hg 200.59 Hg.upf
CELL_PARAMETERS angstrom
3.760 0.000 0.000
0.000 3.760 0.000
0.000 0.000 7.147
ATOMIC_POSITIONS crystal
Sm 0.000 0.000 0.226
Sm 0.000 0.000 0.774
Si 0.500 0.500 0.000
Hg 0.500 0.500 0.500
```

Results
total magnetic moment	0.00	μB per atom

---

# 10
The following is a DFT calculation (PBE-GGA) of crystalline Sm5Si2Hg2 at its relaxed geometry. Values from VASP.

```
&SYSTEM
  ibrav = 0, nat = 18, ntyp = 3
/
ATOMIC_SPECIES
Sm 150.36 Sm.upf
Si 28.09 Si.upf
Hg 200.59 Hg.upf
CELL_PARAMETERS angstrom
8.102 -3.853 0.000
8.102 3.853 0.000
0.000 0.000 7.733
ATOMIC_POSITIONS crystal
Sm 0.000 0.000 0.000
Sm 0.057 0.689 0.678
Sm 0.189 0.557 0.178
Sm 0.311 0.943 0.678
Sm 0.443 0.811 0.178
Sm 0.500 0.500 0.500
Sm 0.557 0.189 0.822
Sm 0.689 0.057 0.322
Sm 0.811 0.443 0.822
Sm 0.943 0.311 0.322
Si 0.114 0.886 0.383
Si 0.386 0.614 0.883
Si 0.614 0.386 0.117
Si 0.886 0.114 0.617
Hg 0.218 0.218 0.000
Hg 0.282 0.282 0.500
Hg 0.718 0.718 0.500
Hg 0.782 0.782 0.000
```

Results
total magnetic moment	0.00	μB per atom

---

# 11
The following is a DFT calculation (PBE-GGA) of crystalline TbSmSiHg at its relaxed geometry. Values from VASP.

```
&SYSTEM
  ibrav = 0, nat = 4, ntyp = 4
/
ATOMIC_SPECIES
Tb 158.93 Tb.upf
Sm 150.36 Sm.upf
Si 28.09 Si.upf
Hg 200.59 Hg.upf
CELL_PARAMETERS angstrom
0.000 3.660 3.660
3.660 0.000 3.660
3.660 3.660 0.000
ATOMIC_POSITIONS crystal
Tb 0.000 0.000 0.000
Sm 0.500 0.500 0.500
Si 0.250 0.250 0.250
Hg 0.750 0.750 0.750
```

Results
total magnetic moment	0.00	μB per atom

---

# 12
The following is a DFT calculation (PBE-GGA) of crystalline Sm6Si2HgTe3 at its relaxed geometry. Values from VASP.

```
&SYSTEM
  ibrav = 0, nat = 12, ntyp = 4
/
ATOMIC_SPECIES
Sm 150.36 Sm.upf
Si 28.09 Si.upf
Hg 200.59 Hg.upf
Te 127.60 Te.upf
CELL_PARAMETERS angstrom
9.555 -2.159 0.000
9.555 2.159 0.000
-2.233 0.000 8.598
ATOMIC_POSITIONS crystal
Sm 0.009 0.009 0.258
Sm 0.326 0.326 0.433
Sm 0.330 0.330 0.892
Sm 0.670 0.670 0.108
Sm 0.674 0.674 0.567
Sm 0.991 0.991 0.742
Si 0.167 0.167 0.333
Si 0.833 0.833 0.667
Hg 0.500 0.500 0.000
Te 0.164 0.164 0.833
Te 0.500 0.500 0.500
Te 0.836 0.836 0.167
```

Results
total magnetic moment	0.00	μB per atom

---

# 13
The following is a DFT calculation (PBE-GGA) of crystalline SmTmSiHg at its relaxed geometry. Values from VASP.

```
&SYSTEM
  ibrav = 0, nat = 4, ntyp = 4
/
ATOMIC_SPECIES
Sm 150.36 Sm.upf
Tm 168.93 Tm.upf
Si 28.09 Si.upf
Hg 200.59 Hg.upf
CELL_PARAMETERS angstrom
0.000 3.630 3.630
3.630 0.000 3.630
3.630 3.630 0.000
ATOMIC_POSITIONS crystal
Sm 0.000 0.000 0.000
Tm 0.500 0.500 0.500
Si 0.750 0.750 0.750
Hg 0.250 0.250 0.250
```

Results
total magnetic moment	0.00	μB per atom

---

# 14
The following is a DFT calculation (PBE-GGA) of crystalline Si2SnHg at its relaxed geometry. Values from VASP.

```
&SYSTEM
  ibrav = 0, nat = 8, ntyp = 3
/
ATOMIC_SPECIES
Si 28.09 Si.upf
Sn 118.71 Sn.upf
Hg 200.59 Hg.upf
CELL_PARAMETERS angstrom
-3.042 3.042 5.860
3.042 -3.042 5.860
3.042 3.042 -5.860
ATOMIC_POSITIONS crystal
Si 0.119 0.625 0.994
Si 0.375 0.369 0.494
Si 0.631 0.125 0.006
Si 0.875 0.881 0.506
Sn 0.250 0.750 0.500
Sn 0.500 0.500 0.000
Hg 0.000 0.000 0.000
Hg 0.750 0.250 0.500
```

Results
energy above the most stable polymorph in this dataset	0.000	eV/atom
total magnetic moment	0.00	μB per atom

---

# 15
The following is a DFT calculation (PBE-GGA) of crystalline SiSnHg2 at its relaxed geometry. Values from VASP.

```
&SYSTEM
  ibrav = 0, nat = 4, ntyp = 3
/
ATOMIC_SPECIES
Si 28.09 Si.upf
Sn 118.71 Sn.upf
Hg 200.59 Hg.upf
CELL_PARAMETERS angstrom
0.000 3.608 3.608
3.608 0.000 3.608
3.608 3.608 0.000
ATOMIC_POSITIONS crystal
Si 0.000 0.000 0.000
Sn 0.500 0.500 0.500
Hg 0.250 0.250 0.250
Hg 0.750 0.750 0.750
```

Results
total magnetic moment	0.00	μB per atom

---

# 16
The following is a DFT calculation (PBE-GGA) of crystalline SiSn3Hg at its relaxed geometry. Values from VASP.

```
&SYSTEM
  ibrav = 0, nat = 5, ntyp = 3
/
ATOMIC_SPECIES
Si 28.09 Si.upf
Sn 118.71 Sn.upf
Hg 200.59 Hg.upf
CELL_PARAMETERS angstrom
5.268 0.000 0.000
0.000 5.268 0.000
0.000 0.000 5.268
ATOMIC_POSITIONS crystal
Si 0.000 0.000 0.000
Sn 0.000 0.000 0.500
Sn 0.000 0.500 0.000
Sn 0.500 0.000 0.000
Hg 0.500 0.500 0.500
```

Results
energy above the most stable polymorph in this dataset	0.000	eV/atom
total magnetic moment	0.00	μB per atom

---

# 17
The following is a DFT calculation (PBE-GGA) of crystalline Si5Sn3Hg12 at its relaxed geometry. Values from VASP.

```
&SYSTEM
  ibrav = 0, nat = 80, ntyp = 3
/
ATOMIC_SPECIES
Si 28.09 Si.upf
Sn 118.71 Sn.upf
Hg 200.59 Hg.upf
CELL_PARAMETERS angstrom
-8.114 8.114 8.114
8.114 -8.114 8.114
8.114 8.114 -8.114
ATOMIC_POSITIONS crystal
Si 0.000 0.000 0.000
Si 0.000 0.000 0.500
Si 0.000 0.500 0.000
Si 0.000 0.500 0.500
Si 0.125 0.750 0.875
Si 0.125 0.875 0.250
Si 0.250 0.125 0.875
Si 0.250 0.625 0.375
Si 0.375 0.250 0.625
Si 0.375 0.625 0.750
Si 0.500 0.000 0.000
Si 0.500 0.000 0.500
Si 0.500 0.500 0.000
Si 0.500 0.500 0.500
Si 0.625 0.375 0.250
Si 0.625 0.750 0.375
Si 0.750 0.375 0.625
Si 0.750 0.875 0.125
Si 0.875 0.125 0.750
Si 0.875 0.250 0.125
Sn 0.125 0.250 0.375
Sn 0.125 0.375 0.750
Sn 0.250 0.375 0.125
Sn 0.250 0.875 0.625
Sn 0.375 0.125 0.250
Sn 0.375 0.750 0.125
Sn 0.625 0.250 0.875
Sn 0.625 0.875 0.750
Sn 0.750 0.125 0.375
Sn 0.750 0.625 0.875
Sn 0.875 0.625 0.250
Sn 0.875 0.750 0.625
Hg 0.037 0.215 0.112
Hg 0.037 0.322 0.925
Hg 0.075 0.612 0.397
Hg 0.075 0.963 0.678
Hg 0.103 0.715 0.678
Hg 0.103 0.888 0.425
Hg 0.112 0.037 0.215
Hg 0.112 0.575 0.897
Hg 0.178 0.215 0.603
Hg 0.178 0.463 0.575
Hg 0.215 0.112 0.037
Hg 0.215 0.603 0.178
Hg 0.285 0.322 0.897
Hg 0.285 0.463 0.388
Hg 0.322 0.897 0.285
Hg 0.322 0.925 0.037
Hg 0.388 0.285 0.463
Hg 0.388 0.603 0.925
Hg 0.397 0.075 0.612
Hg 0.397 0.822 0.785
Hg 0.425 0.103 0.888
Hg 0.425 0.822 0.537
Hg 0.463 0.388 0.285
Hg 0.463 0.575 0.178
Hg 0.537 0.425 0.822
Hg 0.537 0.612 0.715
Hg 0.575 0.178 0.463
Hg 0.575 0.897 0.112
Hg 0.603 0.178 0.215
Hg 0.603 0.925 0.388
Hg 0.612 0.397 0.075
Hg 0.612 0.715 0.537
Hg 0.678 0.075 0.963
Hg 0.678 0.103 0.715
Hg 0.715 0.537 0.612
Hg 0.715 0.678 0.103
Hg 0.785 0.397 0.822
Hg 0.785 0.888 0.963
Hg 0.822 0.537 0.425
Hg 0.822 0.785 0.397
Hg 0.888 0.425 0.103
Hg 0.888 0.963 0.785
Hg 0.897 0.112 0.575
Hg 0.897 0.285 0.322
Hg 0.925 0.037 0.322
Hg 0.925 0.388 0.603
Hg 0.963 0.678 0.075
Hg 0.963 0.785 0.888
```

Results
total magnetic moment	0.00	μB per atom

---

# 18
The following is a DFT calculation (PBE-GGA) of crystalline SiSn2Hg2 at its relaxed geometry. Values from VASP.

```
&SYSTEM
  ibrav = 0, nat = 10, ntyp = 3
/
ATOMIC_SPECIES
Si 28.09 Si.upf
Sn 118.71 Sn.upf
Hg 200.59 Hg.upf
CELL_PARAMETERS angstrom
7.281 0.000 0.000
0.000 7.281 0.000
0.000 0.000 4.780
ATOMIC_POSITIONS crystal
Si 0.000 0.000 0.000
Si 0.500 0.500 0.000
Sn 0.172 0.328 0.500
Sn 0.328 0.828 0.500
Sn 0.672 0.172 0.500
Sn 0.828 0.672 0.500
Hg 0.144 0.644 0.000
Hg 0.356 0.144 0.000
Hg 0.644 0.856 0.000
Hg 0.856 0.356 0.000
```

Results
energy above the most stable polymorph in this dataset	0.069	eV/atom
total magnetic moment	0.00	μB per atom

---

# 19
The following is a DFT calculation (PBE-GGA) of crystalline SiSnHg3 at its relaxed geometry. Values from VASP.

```
&SYSTEM
  ibrav = 0, nat = 5, ntyp = 3
/
ATOMIC_SPECIES
Si 28.09 Si.upf
Sn 118.71 Sn.upf
Hg 200.59 Hg.upf
CELL_PARAMETERS angstrom
5.172 0.000 0.000
0.000 5.172 0.000
0.000 0.000 5.172
ATOMIC_POSITIONS crystal
Si 0.000 0.000 0.000
Sn 0.500 0.500 0.500
Hg 0.000 0.000 0.500
Hg 0.000 0.500 0.000
Hg 0.500 0.000 0.000
```

Results
energy above the most stable polymorph in this dataset	0.000	eV/atom
total magnetic moment	0.00	μB per atom

---

# 20
The following is a DFT calculation (PBE-GGA) of crystalline Si2SnHg at its relaxed geometry. Values from VASP.

```
&SYSTEM
  ibrav = 0, nat = 4, ntyp = 3
/
ATOMIC_SPECIES
Si 28.09 Si.upf
Sn 118.71 Sn.upf
Hg 200.59 Hg.upf
CELL_PARAMETERS angstrom
0.000 3.487 3.487
3.487 0.000 3.487
3.487 3.487 0.000
ATOMIC_POSITIONS crystal
Si 0.250 0.250 0.250
Si 0.750 0.750 0.750
Sn 0.000 0.000 0.000
Hg 0.500 0.500 0.500
```

Results
energy above the most stable polymorph in this dataset	0.124	eV/atom
total magnetic moment	0.00	μB per atom

---

Calculated ΔE_f (raw) in order - 0.347, 0.473, 0.430, 0.463, -0.480, -0.471, -0.545, -0.543, -0.480, -0.576, -0.467, -1.035, -0.446, 0.449, 0.408, 0.458, 0.315, 0.349, 0.386, 0.573 eV per atom